A relaxed RbY3Ag2Te6 crystal. Source: Alexandria via LeMat-Bulk, functional PBE.

Geometry as POSCAR:
```
RbY3Ag2Te6
1.0
11.448 -2.272 0.000
11.448 2.272 0.000
-4.094 0.000 8.868
Rb Y Ag Te
1 3 2 6
Direct
0.000 0.000 0.000
0.000 0.000 0.500
0.336 0.336 0.475
0.664 0.664 0.525
0.265 0.265 0.725
0.735 0.735 0.275
0.145 0.145 0.722
0.174 0.174 0.301
0.478 0.478 0.688
0.522 0.522 0.312
0.826 0.826 0.699
0.855 0.855 0.278
```

## Properties
formation energy without anion corrections: -101 kJ/mol of atoms
raw total energy: -4.790 eV per atom
calculated volume: 38.4 Å³ per atom